# Rb3SN | Alexandria | GGA-PBEsol | relaxed
data_Rb3SN
_space_group_name_H-M_alt 'P m -3 m'
_space_group_IT_number 221
_space_group_name_Hall '-P 4 2 3'
_cell_length_a 6.2221
_cell_length_b 6.2221
_cell_length_c 6.2221
_cell_angle_alpha 90.00
_cell_angle_beta 90.00
_cell_angle_gamma 90.00
loop_
_atom_site_label
_atom_site_type_symbol
_atom_site_fract_x
_atom_site_fract_y
_atom_site_fract_z
Rb1 Rb 0.0000 0.0000 0.5000
S1 S 0.0000 0.0000 0.0000
N1 N 0.5000 0.5000 0.5000
# - energy relative to the elements, uncorrected (eV/atom) = 0.2778
# - total DFT energy (no corrections) (Ry per atom) = -0.215
# - crystal system = cubic
# - size of the total moment (Bohr magnetons per cell) = 2.000